Here is an optimized crystal structure of Cs5CdHg6 from Alexandria. Energies are from GGA-PBE.

Values from the calculation:
M_tot, μB per atom: 0.00
Energy of formation from the pure elements, eV/f.u.: -2.21
Volume, A^3/atom: 50.559
N(E_F), states/eV per atom: 0.6097

a = 7.1659 Å, b = 9.4647 Å, c = 10.7160 Å
α = 108.80°, β = 100.18°, γ = 110.91°
Positions (direct):
Hg (0.8886, 0.4803, 0.6115)
Hg (0.3928, 0.3081, 0.0000)
Hg (0.7229, 0.1313, 0.6115)
Hg (0.1114, 0.5197, 0.3885)
Hg (0.2771, 0.8687, 0.3885)
Hg (0.6072, 0.6919, 0.0000)
Cd (0.0000, 0.0000, 0.0000)
Cs (0.3867, 0.8867, 0.7733)
Cs (0.6921, 0.6921, 0.3842)
Cs (0.6133, 0.1133, 0.2267)
Cs (0.3079, 0.3079, 0.6158)
Cs (0.0000, 0.5000, 0.0000)